# 1
Density functional theory data (PBE) for a geometry-optimized MnGeIr structure.

POSCAR file:
```
MnGeIr
1.0
2.727 0.000 0.000
0.000 3.583 0.000
-1.194 -1.780 9.048
Mn Ge Ir
2 2 2
direct
0.183 0.223 0.446 Mn
0.817 0.777 0.554 Mn
0.066 0.071 0.140 Ge
0.934 0.929 0.860 Ge
0.370 0.360 0.721 Ir
0.630 0.640 0.279 Ir
```

Results
**Calculated volume**: 88 Å³ per cell
**Total magnetic moment**: 0.0 Bohr magnetons per cell
**Formation energy**: -0.027 eV/atom
**Electronic total energy**: -7.58 eV/atom



# 2
Density functional theory data (PBE) for a geometry-optimized MnGeIr structure.

POSCAR file:
```
MnGeIr
1.0
4.228 0.000 0.000
-2.114 3.661 0.000
0.000 0.000 2.902
Mn Ge Ir
1 1 1
direct
0.000 0.000 0.000 Mn
0.333 0.667 0.500 Ge
0.667 0.333 0.500 Ir
```

Results
**Calculated volume**: 45 Å³ per cell
**Total magnetic moment**: 3.7 Bohr magnetons per cell
**Formation energy**: -0.191 eV/atom
**Electronic total energy**: -7.74 eV/atom



# 3
Density functional theory data (PBE) for a geometry-optimized Mn4Ge6Ir7 structure.

POSCAR file:
```
Mn4Ge6Ir7
1.0
-4.037 4.037 4.037
4.037 -4.037 4.037
4.037 4.037 -4.037
Mn Ge Ir
4 6 7
direct
0.000 0.000 0.500 Mn
0.000 0.500 0.000 Mn
0.500 0.000 0.000 Mn
0.500 0.500 0.500 Mn
0.000 0.306 0.306 Ge
0.000 0.694 0.694 Ge
0.306 0.000 0.306 Ge
0.306 0.306 0.000 Ge
0.694 0.000 0.694 Ge
0.694 0.694 0.000 Ge
0.000 0.000 0.000 Ir
0.250 0.500 0.750 Ir
0.250 0.750 0.500 Ir
0.500 0.250 0.750 Ir
0.500 0.750 0.250 Ir
0.750 0.250 0.500 Ir
0.750 0.500 0.250 Ir
```

Results
**Calculated volume**: 263 Å³ per cell
**Total magnetic moment**: 17.3 Bohr magnetons per cell
**Formation energy**: -0.213 eV/atom
**Electronic total energy**: -7.65 eV/atom